Density functional theory data (PBE) for a relaxed structure of Ce5Rh4.

The structure in POSCAR format:
```
Ce5Rh4
1.0
5.717 -1.936 0.000
5.717 1.936 0.000
-3.505 0.000 9.416
Ce Rh
5 4
Direct
0.000 0.000 0.000 Ce
0.107 0.107 0.401 Ce
0.231 0.231 0.824 Ce
0.769 0.769 0.176 Ce
0.893 0.893 0.599 Ce
0.367 0.367 0.390 Rh
0.494 0.494 0.186 Rh
0.506 0.506 0.814 Rh
0.633 0.633 0.610 Rh
```

Calculated values
distance to the lowest polymorph of the same formula = 0.08 eV/f.u.
SG = C2/m, No. 12
calculated formation energy = -5.9 eV/f.u.

Density functional theory data (PBE) for a relaxed structure of KAgSbPd.

The structure in POSCAR format:
```
KAgSbPd
1.0
4.296 0.000 0.000
0.000 4.296 0.000
0.000 0.000 12.383
K Ag Sb Pd
2 2 2 2
Direct
0.250 0.250 0.227 K
0.750 0.750 0.773 K
0.250 0.750 0.000 Ag
0.750 0.250 0.000 Ag
0.250 0.250 0.625 Sb
0.750 0.750 0.375 Sb
0.250 0.750 0.500 Pd
0.750 0.250 0.500 Pd
```

Calculated values
formation energy (no corrections) = -0.177 eV/atom
SG = P4/nmm, No. 129